(1)
A relaxed LaCePr2Hg4 crystal. Source: Alexandria via LeMat-Bulk, functional PBE-GGA.

Cell and atoms, written as CIF:
```
data_LaCePr2Hg4
_cell_length_a 5.4699
_cell_length_b 5.4699
_cell_length_c 26.8872
_cell_angle_alpha 90.00
_cell_angle_beta 90.00
_cell_angle_gamma 120.00
_space_group_name_H-M_alt 'R -3 m'
_space_group_IT_number 166
_space_group_name_Hall '-R 3 2"'
loop_
_atom_site_label
_atom_site_type_symbol
_atom_site_fract_x
_atom_site_fract_y
_atom_site_fract_z
_atom_site_occupancy
La1 La 0.0000 0.0000 0.0000 1
Ce1 Ce 0.0000 0.0000 0.5000 1
Pr1 Pr 0.0000 0.0000 0.2493 1
Hg1 Hg 0.0000 0.0000 0.1259 1
Hg2 Hg 0.0000 0.0000 0.3762 1
```

Output
ΔE_f: -430 meV/atom
Calculated total energy: -3.134 eV/atom



(2)
A relaxed LaCeHgPt crystal. Source: Alexandria via LeMat-Bulk, functional PBE-GGA.

Cell and atoms, written as CIF:
```
data_LaCeHgPt
_cell_length_a 7.475
_cell_length_b 7.475
_cell_length_c 7.475
_cell_angle_alpha 90.00
_cell_angle_beta 90.00
_cell_angle_gamma 90.00
_space_group_name_H-M_alt 'F -4 3 m'
_space_group_IT_number 216
_space_group_name_Hall 'F -4 2 3'
loop_
_atom_site_label
_atom_site_type_symbol
_atom_site_fract_x
_atom_site_fract_y
_atom_site_fract_z
_atom_site_occupancy
La1 La 0.000 0.000 0.000 1
Ce1 Ce 0.000 0.000 0.500 1
Hg1 Hg 0.250 0.250 0.750 1
Pt1 Pt 0.250 0.250 0.250 1
```

Output
ΔE_f: -644 meV/atom
Calculated total energy: -4.945 eV/atom



(3)
A relaxed LaCePuHg crystal. Source: Alexandria via LeMat-Bulk, functional PBE-GGA.

Cell and atoms, written as CIF:
```
data_LaCePuHg
_cell_length_a 7.585
_cell_length_b 7.585
_cell_length_c 7.585
_cell_angle_alpha 90.00
_cell_angle_beta 90.00
_cell_angle_gamma 90.00
_space_group_name_H-M_alt 'F -4 3 m'
_space_group_IT_number 216
_space_group_name_Hall 'F -4 2 3'
loop_
_atom_site_label
_atom_site_type_symbol
_atom_site_fract_x
_atom_site_fract_y
_atom_site_fract_z
_atom_site_occupancy
La1 La 0.000 0.000 0.000 1
Ce1 Ce 0.250 0.250 0.750 1
Pu1 Pu 0.000 0.000 0.500 1
Hg1 Hg 0.250 0.250 0.250 1
```

Output
ΔE_f: -13 meV/atom
Calculated total energy: -6.387 eV/atom



(4)
A relaxed LaCeSc2Hg4 crystal. Source: Alexandria via LeMat-Bulk, functional PBE-GGA.

Cell and atoms, written as CIF:
```
data_LaCeSc2Hg4
_cell_length_a 5.2552
_cell_length_b 5.2552
_cell_length_c 25.9065
_cell_angle_alpha 90.00
_cell_angle_beta 90.00
_cell_angle_gamma 120.00
_space_group_name_H-M_alt 'R -3 m'
_space_group_IT_number 166
_space_group_name_Hall '-R 3 2"'
loop_
_atom_site_label
_atom_site_type_symbol
_atom_site_fract_x
_atom_site_fract_y
_atom_site_fract_z
_atom_site_occupancy
La1 La 0.0000 0.0000 0.0000 1
Ce1 Ce 0.0000 0.0000 0.5000 1
Sc1 Sc 0.0000 0.0000 0.2482 1
Hg1 Hg 0.0000 0.0000 0.1260 1
Hg2 Hg 0.0000 0.0000 0.3772 1
```

Output
ΔE_f: -370 meV/atom
Calculated total energy: -3.462 eV/atom



(5)
A relaxed LaCeSiHg crystal. Source: Alexandria via LeMat-Bulk, functional PBE-GGA.

Cell and atoms, written as CIF:
```
data_LaCeSiHg
_cell_length_a 7.520
_cell_length_b 7.520
_cell_length_c 7.520
_cell_angle_alpha 90.00
_cell_angle_beta 90.00
_cell_angle_gamma 90.00
_space_group_name_H-M_alt 'F -4 3 m'
_space_group_IT_number 216
_space_group_name_Hall 'F -4 2 3'
loop_
_atom_site_label
_atom_site_type_symbol
_atom_site_fract_x
_atom_site_fract_y
_atom_site_fract_z
_atom_site_occupancy
La1 La 0.000 0.000 0.000 1
Ce1 Ce 0.000 0.000 0.500 1
Si1 Si 0.250 0.250 0.750 1
Hg1 Hg 0.250 0.250 0.250 1
```

Output
Calculated total energy: -4.555 eV/atom



(6)
A relaxed LaCeSmHg crystal. Source: Alexandria via LeMat-Bulk, functional PBE-GGA.

Cell and atoms, written as CIF:
```
data_LaCeSmHg
_cell_length_a 7.741
_cell_length_b 7.741
_cell_length_c 7.741
_cell_angle_alpha 90.00
_cell_angle_beta 90.00
_cell_angle_gamma 90.00
_space_group_name_H-M_alt 'F -4 3 m'
_space_group_IT_number 216
_space_group_name_Hall 'F -4 2 3'
loop_
_atom_site_label
_atom_site_type_symbol
_atom_site_fract_x
_atom_site_fract_y
_atom_site_fract_z
_atom_site_occupancy
La1 La 0.000 0.000 0.000 1
Ce1 Ce 0.250 0.250 0.750 1
Sm1 Sm 0.000 0.000 0.500 1
Hg1 Hg 0.250 0.250 0.250 1
```

Output
ΔE_f: -28 meV/atom
Calculated total energy: -3.998 eV/atom



(7)
A relaxed LaCeSm2Hg4 crystal. Source: Alexandria via LeMat-Bulk, functional PBE-GGA.

Cell and atoms, written as CIF:
```
data_LaCeSm2Hg4
_cell_length_a 5.4231
_cell_length_b 5.4231
_cell_length_c 26.6282
_cell_angle_alpha 90.00
_cell_angle_beta 90.00
_cell_angle_gamma 120.00
_space_group_name_H-M_alt 'R -3 m'
_space_group_IT_number 166
_space_group_name_Hall '-R 3 2"'
loop_
_atom_site_label
_atom_site_type_symbol
_atom_site_fract_x
_atom_site_fract_y
_atom_site_fract_z
_atom_site_occupancy
La1 La 0.0000 0.0000 0.0000 1
Ce1 Ce 0.0000 0.0000 0.5000 1
Sm1 Sm 0.0000 0.0000 0.2492 1
Hg1 Hg 0.0000 0.0000 0.1260 1
Hg2 Hg 0.0000 0.0000 0.3763 1
```

Output
ΔE_f: -427 meV/atom
Calculated total energy: -3.116 eV/atom



(8)
A relaxed LaTbCeHg crystal. Source: Alexandria via LeMat-Bulk, functional PBE-GGA.

Cell and atoms, written as CIF:
```
data_LaTbCeHg
_cell_length_a 7.704
_cell_length_b 7.704
_cell_length_c 7.704
_cell_angle_alpha 90.00
_cell_angle_beta 90.00
_cell_angle_gamma 90.00
_space_group_name_H-M_alt 'F -4 3 m'
_space_group_IT_number 216
_space_group_name_Hall 'F -4 2 3'
loop_
_atom_site_label
_atom_site_type_symbol
_atom_site_fract_x
_atom_site_fract_y
_atom_site_fract_z
_atom_site_occupancy
La1 La 0.000 0.000 0.000 1
Tb1 Tb 0.000 0.000 0.500 1
Ce1 Ce 0.250 0.250 0.750 1
Hg1 Hg 0.250 0.250 0.250 1
```

Output
ΔE_f: -19 meV/atom
Calculated total energy: -3.968 eV/atom



(9)
A relaxed LaTbCe2Hg4 crystal. Source: Alexandria via LeMat-Bulk, functional PBE-GGA.

Cell and atoms, written as CIF:
```
data_LaTbCe2Hg4
_cell_length_a 5.4056
_cell_length_b 5.4056
_cell_length_c 26.6206
_cell_angle_alpha 90.00
_cell_angle_beta 90.00
_cell_angle_gamma 120.00
_space_group_name_H-M_alt 'R -3 m'
_space_group_IT_number 166
_space_group_name_Hall '-R 3 2"'
loop_
_atom_site_label
_atom_site_type_symbol
_atom_site_fract_x
_atom_site_fract_y
_atom_site_fract_z
_atom_site_occupancy
La1 La 0.0000 0.0000 0.0000 1
Tb1 Tb 0.0000 0.0000 0.5000 1
Ce1 Ce 0.0000 0.0000 0.2504 1
Hg1 Hg 0.0000 0.0000 0.1279 1
Hg2 Hg 0.0000 0.0000 0.3787 1
```

Output
ΔE_f: -377 meV/atom
Calculated total energy: -3.207 eV/atom



(10)
A relaxed LaCeTm2Hg4 crystal. Source: Alexandria via LeMat-Bulk, functional PBE-GGA.

Cell and atoms, written as CIF:
```
data_LaCeTm2Hg4
_cell_length_a 5.3483
_cell_length_b 5.3483
_cell_length_c 26.2918
_cell_angle_alpha 90.00
_cell_angle_beta 90.00
_cell_angle_gamma 120.00
_space_group_name_H-M_alt 'R -3 m'
_space_group_IT_number 166
_space_group_name_Hall '-R 3 2"'
loop_
_atom_site_label
_atom_site_type_symbol
_atom_site_fract_x
_atom_site_fract_y
_atom_site_fract_z
_atom_site_occupancy
La1 La 0.0000 0.0000 0.0000 1
Ce1 Ce 0.0000 0.0000 0.5000 1
Tm1 Tm 0.0000 0.0000 0.2488 1
Hg1 Hg 0.0000 0.0000 0.1262 1
Hg2 Hg 0.0000 0.0000 0.3768 1
```

Output
ΔE_f: -417 meV/atom
Calculated total energy: -3.043 eV/atom



(11)
A relaxed LaCeYHg crystal. Source: Alexandria via LeMat-Bulk, functional PBE-GGA.

Cell and atoms, written as CIF:
```
data_LaCeYHg
_cell_length_a 7.725
_cell_length_b 7.725
_cell_length_c 7.725
_cell_angle_alpha 90.00
_cell_angle_beta 90.00
_cell_angle_gamma 90.00
_space_group_name_H-M_alt 'F -4 3 m'
_space_group_IT_number 216
_space_group_name_Hall 'F -4 2 3'
loop_
_atom_site_label
_atom_site_type_symbol
_atom_site_fract_x
_atom_site_fract_y
_atom_site_fract_z
_atom_site_occupancy
La1 La 0.000 0.000 0.000 1
Ce1 Ce 0.250 0.250 0.750 1
Y1 Y 0.000 0.000 0.500 1
Hg1 Hg 0.250 0.250 0.250 1
```

Output
ΔE_f: -20 meV/atom
Calculated total energy: -4.427 eV/atom



(12)
A relaxed LaCeZnHg crystal. Source: Alexandria via LeMat-Bulk, functional PBE-GGA.

Cell and atoms, written as CIF:
```
data_LaCeZnHg
_cell_length_a 7.601
_cell_length_b 7.601
_cell_length_c 7.601
_cell_angle_alpha 90.00
_cell_angle_beta 90.00
_cell_angle_gamma 90.00
_space_group_name_H-M_alt 'F -4 3 m'
_space_group_IT_number 216
_space_group_name_Hall 'F -4 2 3'
loop_
_atom_site_label
_atom_site_type_symbol
_atom_site_fract_x
_atom_site_fract_y
_atom_site_fract_z
_atom_site_occupancy
La1 La 0.000 0.000 0.000 1
Ce1 Ce 0.000 0.000 0.500 1
Zn1 Zn 0.250 0.250 0.750 1
Hg1 Hg 0.250 0.250 0.250 1
```

Output
ΔE_f: -286 meV/atom
Calculated total energy: -3.396 eV/atom